DFT (PBE-GGA) results for crystalline CsBSb2Te at its relaxed geometry.

Values from the calculation:
N(E_F) = 6.93 states/eV/cell
Energy relative to the elements, uncorrected = 2242 meV per atom
Crystal system = tetragonal

Lattice parameters (Å, degrees): 6.3202 6.3202 6.4574 90.00 90.00 90.00
Closest atoms and distances in Å follow each position.
Space group P4/mmm (No. 123)
Asymmetric unit:
Cs  0.0000  0.0000  0.0000 (multiplicity 1)  4 Sb 3.16, 2 Te 3.23
B  0.5000  0.5000  0.5000 (multiplicity 1)  4 Te 4.47, 8 Sb 4.52
Sb  0.0000  0.5000  0.0000 (multiplicity 2)  2 Cs 3.16
Te  0.0000  0.0000  0.5000 (multiplicity 1)  2 Cs 3.23